# 1
A plane-wave DFT calculation with PBE-GGA was carried out for BaFeHg2 after structural relaxation.

Cell: 4.3847 5.9385 8.7835 Å, 90.00 90.00 90.00°
Space group Immm (No. 71)
Symmetry-distinct sites (fractional):
1 Ba 0.0000 0.0000 0.0000
2 Fe 0.0000 0.0000 0.5000
3 Hg 0.0000 0.5000 0.1963

# 2
A plane-wave DFT calculation with PBE-GGA was carried out for BaFe2Hg after structural relaxation.

Cell: 8.6519 4.1322 6.1660 Å, 90.00 113.38 90.00°
Space group C2/m (No. 12)
Symmetry-distinct sites (fractional):
1 Ba 0.0000 0.0000 0.0000
2 Fe 0.2143 0.0000 0.5714
3 Hg 0.0000 0.5000 0.5000

As for the energy above the lowest structure with this stoichiometry: 37 meV per atom.

# 3
A plane-wave DFT calculation with PBE-GGA was carried out for Ba3FeHg after structural relaxation.

Cell: 5.7929 5.7929 5.7929 Å, 90.00 90.00 90.00°
Space group Pm-3m (No. 221)
Symmetry-distinct sites (fractional):
1 Ba 0.0000 0.0000 0.5000
2 Fe 0.0000 0.0000 0.0000
3 Hg 0.5000 0.5000 0.5000

As for the energy above the lowest structure with this stoichiometry: 0 meV per atom.

# 4
A plane-wave DFT calculation with PBE-GGA was carried out for BaFe2Hg after structural relaxation.

Cell: 4.8089 4.8089 18.9201 Å, 90.00 90.00 90.00°
Space group I4_1/amd (No. 141, origin choice 2)
Symmetry-distinct sites (fractional):
1 Ba 0.0000 0.2500 0.3750
2 Fe 0.0000 0.0000 0.0000
3 Hg 0.0000 0.2500 0.8750

As for the energy above the lowest structure with this stoichiometry: 187 meV per atom.

Uncorrected energy, record by record: -2.56, -4.42, -2.61, -4.27 eV/atom